CdPdRu2F: relaxed, PBE.

Crystal system = tetragonal
Magnetic moment = 3.1 μB/f.u.
VASP energy = -23.7 eV per cell

Cell lengths 4.1113, 4.1113, 4.8252 Å; angles 90.00, 90.00, 90.00 degrees
Sites, in units of the cell vectors:
Cd  0.0000  0.0000  0.0000
Pd  0.5000  0.5000  0.0000
Ru  0.0000  0.5000  0.5000
Ru  0.5000  0.0000  0.5000
F  0.0000  0.0000  0.5000